1.
A relaxed MgTaZnCr2 crystal. Source: the Alexandria database, functional PBE.

a = 4.647 Å, b = 4.647 Å, c = 5.088 Å
α = 90.00°, β = 90.00°, γ = 90.00°
Element x y z (fractional)
1 Mg 0.000 0.000 0.000
2 Ta 0.500 0.500 0.500
3 Zn 0.500 0.500 0.000
4 Cr 0.000 0.500 0.500
5 Cr 0.500 0.000 0.500

Values from the calculation:
magnetization	4.77	μB per formula unit
volume	109.9	Å³ per cell
excess energy over the best structure of this formula in the dataset	0.0	meV per atom
space group	P4/mmm (123)

2.
A relaxed MgTaZnCr2 crystal. Source: the Alexandria database, functional PBE.

a = 4.638 Å, b = 4.638 Å, c = 5.300 Å
α = 90.00°, β = 90.00°, γ = 90.00°
Element x y z (fractional)
1 Mg 0.000 0.000 0.000
2 Ta 0.000 0.000 0.500
3 Zn 0.500 0.500 0.000
4 Cr 0.000 0.500 0.500
5 Cr 0.500 0.000 0.500

Values from the calculation:
magnetization	4.71	μB per formula unit
volume	114.0	Å³ per cell
excess energy over the best structure of this formula in the dataset	226.5	meV per atom
space group	P4/mmm (123)

3.
A relaxed Tb2MgCr crystal. Source: the Alexandria database, functional PBE.

a = 3.598 Å, b = 3.598 Å, c = 7.867 Å
α = 90.00°, β = 90.00°, γ = 90.00°
Element x y z (fractional)
1 Tb 0.000 0.000 0.220
2 Tb 0.000 0.000 0.780
3 Mg 0.500 0.500 0.500
4 Cr 0.500 0.500 0.000

Values from the calculation:
magnetization	3.34	μB per formula unit
volume	101.9	Å³ per cell
space group	P4/mmm (123)
DFT total energy	-4.983	eV per atom

4.
A relaxed TbYMgCr crystal. Source: the Alexandria database, functional PBE.

a = 5.212 Å, b = 5.212 Å, c = 5.212 Å
α = 60.00°, β = 60.00°, γ = 60.00°
Element x y z (fractional)
1 Tb 0.000 0.000 0.000
2 Y 0.500 0.500 0.500
3 Mg 0.250 0.250 0.250
4 Cr 0.750 0.750 0.750

Values from the calculation:
magnetization	3.57	μB per formula unit
volume	100.1	Å³ per cell
space group	F-43m (216)
DFT total energy	-5.445	eV per atom

5.
A relaxed Mg2CrTc crystal. Source: the Alexandria database, functional PBE.

a = 4.573 Å, b = 4.573 Å, c = 3.268 Å
α = 90.00°, β = 90.00°, γ = 90.00°
Element x y z (fractional)
1 Mg 0.000 0.500 0.000
2 Mg 0.500 0.000 0.000
3 Cr 0.000 0.000 0.500
4 Tc 0.500 0.500 0.500

Values from the calculation:
magnetization	5.59	μB per formula unit
volume	68.4	Å³ per cell
excess energy over the best structure of this formula in the dataset	416.5	meV per atom
space group	P4/mmm (123)

6.
A relaxed Mg2CrTc crystal. Source: the Alexandria database, functional PBE.

a = 2.636 Å, b = 2.636 Å, c = 8.935 Å
α = 90.00°, β = 90.00°, γ = 90.00°
Element x y z (fractional)
1 Mg 0.000 0.000 0.244
2 Mg 0.000 0.000 0.756
3 Cr 0.500 0.500 0.000
4 Tc 0.500 0.500 0.500

Values from the calculation:
magnetization	0.22	μB per formula unit
volume	62.1	Å³ per cell
excess energy over the best structure of this formula in the dataset	350.7	meV per atom
space group	P4/mmm (123)

Which value of magnetization does entry 6 give? 0.22 μB per formula unit

Repeat the first record exactly.
A relaxed MgTaZnCr2 crystal. Source: the Alexandria database, functional PBE.

a = 4.647 Å, b = 4.647 Å, c = 5.088 Å
α = 90.00°, β = 90.00°, γ = 90.00°
Element x y z (fractional)
1 Mg 0.000 0.000 0.000
2 Ta 0.500 0.500 0.500
3 Zn 0.500 0.500 0.000
4 Cr 0.000 0.500 0.500
5 Cr 0.500 0.000 0.500

Values from the calculation:
magnetization	4.77	μB per formula unit
volume	109.9	Å³ per cell
excess energy over the best structure of this formula in the dataset	0.0	meV per atom
space group	P4/mmm (123)

The lowest volume belongs to which entry? number 6

volume of number 1 (MgTaZnCr2)? 109.9 Å³ per cell